[1]
AcPu2Al2Ge2 | PBE-GGA | optimized geometry

Computed properties:
- DFT formation energy: -0.275 eV/atom
- Calculated total energy: -51.4 eV for the cell shown

Cell and atoms, written as POSCAR:
```
AcPu2Al2Ge2
1.0
2.255 1.302 9.367
-2.255 1.302 9.367
0.000 -2.604 9.367
Ac Pu Al Ge
1 2 2 2
Cartesian
0.000 0.000 0.000
0.000 0.000 4.077
0.000 0.000 24.023
0.000 0.000 11.822
0.000 0.000 16.278
0.000 0.000 7.252
0.000 0.000 20.848
```

=====

[2]
RbSiGeRh2 | PBE-GGA | optimized geometry

Computed properties:
- Calculated total energy: -22.5 eV for the cell shown
- Energy relative to the elements, uncorrected: 0.6491 eV/atom

Cell and atoms, written as POSCAR:
```
RbSiGeRh2
1.0
4.536 0.000 0.000
0.000 4.536 0.000
0.000 0.000 5.678
Rb Si Ge Rh
1 1 1 2
Cartesian
0.000 0.000 0.000
0.000 0.000 2.839
2.268 2.268 0.000
0.000 2.268 2.839
2.268 0.000 2.839
```